1.
# BaSc3I PBE-GGA optimized geometry
data_BaSc3I
_chemical_formula_sum 'Ba1 Sc3 I1'
_cell_length_a 5.533
_cell_length_b 5.533
_cell_length_c 5.533
_cell_angle_alpha 90.00
_cell_angle_beta 90.00
_cell_angle_gamma 90.00
_space_group_name_H-M_alt 'P m -3 m'
_space_group_IT_number 221
_space_group_name_Hall '-P 4 2 3'
loop_
_atom_site_label
_atom_site_type_symbol
_atom_site_fract_x
_atom_site_fract_y
_atom_site_fract_z
Ba1 Ba 0.000 0.000 0.000
Sc1 Sc 0.000 0.500 0.500
I1 I 0.500 0.500 0.500
# ΔE_f (raw)	1.47	eV per formula unit
# calculated total energy	-4.199	eV per atom
# total moment	0.005	μB/f.u.
# energy above the lowest structure with this stoichiometry	0	meV per atom

***

2.
# Cs2ZrTaPd PBE-GGA optimized geometry
data_Cs2ZrTaPd
_chemical_formula_sum 'Cs2 Zr1 Ta1 Pd1'
_cell_length_a 6.275
_cell_length_b 6.275
_cell_length_c 5.324
_cell_angle_alpha 90.00
_cell_angle_beta 90.00
_cell_angle_gamma 90.00
_space_group_name_H-M_alt 'P 4/m m m'
_space_group_IT_number 123
_space_group_name_Hall '-P 4 2'
loop_
_atom_site_label
_atom_site_type_symbol
_atom_site_fract_x
_atom_site_fract_y
_atom_site_fract_z
Cs1 Cs 0.000 0.500 0.000
Zr1 Zr 0.000 0.000 0.500
Ta1 Ta 0.500 0.500 0.500
Pd1 Pd 0.000 0.000 0.000
# energy of formation from the pure elements	1.76	eV/atom
# calculated total energy	-3.699	eV per atom
# total moment	6.207	μB/f.u.

***

3.
# Tb4Ho3Sc2 PBE-GGA optimized geometry
data_Tb4Ho3Sc2
_chemical_formula_sum 'Tb16 Ho12 Sc8'
_cell_length_a 16.197
_cell_length_b 11.326
_cell_length_c 5.911
_cell_angle_alpha 90.00
_cell_angle_beta 96.96
_cell_angle_gamma 90.00
_space_group_name_H-M_alt 'C 1 2/c 1'
_space_group_IT_number 15
loop_
_space_group_symop_operation_xyz
'x,y,z'
'-x,-y,-z'
'-x,y,-z+1/2'
'x,-y,z+1/2'
'x+1/2,y+1/2,z'
'-x+1/2,-y+1/2,-z'
'-x+1/2,y+1/2,-z+1/2'
'x+1/2,-y+1/2,z+1/2'
loop_
_atom_site_label
_atom_site_type_symbol
_atom_site_fract_x
_atom_site_fract_y
_atom_site_fract_z
Tb1 Tb 0.065 0.115 0.046
Tb2 Tb 0.221 0.393 0.895
Ho1 Ho 0.000 0.357 0.750
Ho2 Ho 0.170 0.153 0.578
Sc1 Sc 0.099 0.386 0.300
# energy of formation from the pure elements	0.10	eV/atom
# calculated total energy	-4.886	eV per atom
# total moment	0.000	μB/f.u.
# energy above the lowest structure with this stoichiometry	0	meV per atom

***

4.
# Ba2CdSb3 PBE-GGA optimized geometry
data_Ba2CdSb3
_chemical_formula_sum 'Ba8 Cd4 Sb12'
_cell_length_a 7.946
_cell_length_b 4.939
_cell_length_c 21.833
_cell_angle_alpha 90.00
_cell_angle_beta 90.00
_cell_angle_gamma 90.00
_space_group_name_H-M_alt 'P n m a'
_space_group_IT_number 62
loop_
_space_group_symop_operation_xyz
'x,y,z'
'-x,-y,-z'
'-x+1/2,-y,z+1/2'
'x+1/2,y,-z+1/2'
'x+1/2,-y+1/2,-z+1/2'
'-x+1/2,y+1/2,z+1/2'
'-x,y+1/2,-z'
'x,-y+1/2,z'
loop_
_atom_site_label
_atom_site_type_symbol
_atom_site_fract_x
_atom_site_fract_y
_atom_site_fract_z
Ba1 Ba 0.171 0.250 0.210
Ba2 Ba 0.174 0.250 0.428
Cd1 Cd 0.026 0.750 0.061
Sb1 Sb 0.010 0.250 0.669
Sb2 Sb 0.156 0.250 0.818
Sb3 Sb 0.221 0.250 0.044
# ΔE_f (raw)	-4.29	eV per formula unit
# calculated total energy	-3.569	eV per atom
# total moment	0.000	μB/f.u.

***

5.
# ReSiSe PBE-GGA optimized geometry
data_ReSiSe
_chemical_formula_sum 'Re4 Si4 Se4'
_cell_length_a 3.103
_cell_length_b 4.841
_cell_length_c 13.465
_cell_angle_alpha 90.00
_cell_angle_beta 90.00
_cell_angle_gamma 90.00
_space_group_name_H-M_alt 'F m m 2'
_space_group_IT_number 42
_space_group_name_Hall 'F 2 -2'
loop_
_atom_site_label
_atom_site_type_symbol
_atom_site_fract_x
_atom_site_fract_y
_atom_site_fract_z
Re1 Re 0.000 0.000 0.000
Si1 Si 0.000 0.000 0.642
Se1 Se 0.000 0.000 0.344
# ΔE_f (raw)	1.65	eV per formula unit
# calculated total energy	-6.570	eV per atom
# total moment	0.000	μB/f.u.
# energy above the lowest structure with this stoichiometry	372	meV per atom

***

6.
# PdRhS2N PBE-GGA optimized geometry
data_PdRhS2N
_chemical_formula_sum 'Pd1 Rh1 S2 N1'
_cell_length_a 4.825
_cell_length_b 4.825
_cell_length_c 3.626
_cell_angle_alpha 90.00
_cell_angle_beta 90.00
_cell_angle_gamma 90.00
_space_group_name_H-M_alt 'P 4/m m m'
_space_group_IT_number 123
_space_group_name_Hall '-P 4 2'
loop_
_atom_site_label
_atom_site_type_symbol
_atom_site_fract_x
_atom_site_fract_y
_atom_site_fract_z
Pd1 Pd 0.000 0.000 0.000
Rh1 Rh 0.500 0.500 0.500
S1 S 0.000 0.500 0.000
N1 N 0.000 0.000 0.500
# ΔE_f (raw)	5.88	eV per formula unit
# calculated total energy	-4.650	eV per atom
# total moment	0.028	μB/f.u.
# energy above the lowest structure with this stoichiometry	467	meV per atom

***

7.
# Sr2CaLa PBE-GGA optimized geometry
data_Sr2CaLa
_chemical_formula_sum 'Sr8 Ca4 La4'
_cell_length_a 9.791
_cell_length_b 9.791
_cell_length_c 7.510
_cell_angle_alpha 90.00
_cell_angle_beta 90.00
_cell_angle_gamma 90.00
_space_group_name_H-M_alt 'I -4 2 d'
_space_group_IT_number 122
_space_group_name_Hall 'I -4 2bw'
loop_
_atom_site_label
_atom_site_type_symbol
_atom_site_fract_x
_atom_site_fract_y
_atom_site_fract_z
Sr1 Sr 0.250 0.250 0.125
Ca1 Ca 0.000 0.000 0.000
La1 La 0.000 0.000 0.500
# energy of formation from the pure elements	0.38	eV/atom
# calculated total energy	-2.191	eV per atom
# total moment	0.946	μB/f.u.
# energy above the lowest structure with this stoichiometry	297	meV per atom

***

8.
# GaIrPdF2 PBE-GGA optimized geometry
data_GaIrPdF2
_chemical_formula_sum 'Ga1 Ir1 Pd1 F2'
_cell_length_a 3.900
_cell_length_b 3.900
_cell_length_c 5.740
_cell_angle_alpha 90.00
_cell_angle_beta 90.00
_cell_angle_gamma 90.00
_space_group_name_H-M_alt 'P 4/m m m'
_space_group_IT_number 123
_space_group_name_Hall '-P 4 2'
loop_
_atom_site_label
_atom_site_type_symbol
_atom_site_fract_x
_atom_site_fract_y
_atom_site_fract_z
Ga1 Ga 0.000 0.000 0.000
Ir1 Ir 0.500 0.500 0.000
Pd1 Pd 0.000 0.000 0.500
F1 F 0.000 0.500 0.500
# ΔE_f (raw)	-0.45	eV per formula unit
# calculated total energy	-4.255	eV per atom
# total moment	1.142	μB/f.u.

***

9.
# Ho4NiGe8 PBE-GGA optimized geometry
data_Ho4NiGe8
_chemical_formula_sum 'Ho4 Ni1 Ge8'
_cell_length_a 3.984
_cell_length_b 4.083
_cell_length_c 16.111
_cell_angle_alpha 90.00
_cell_angle_beta 90.00
_cell_angle_gamma 90.00
_space_group_name_H-M_alt 'P m m 2'
_space_group_IT_number 25
loop_
_space_group_symop_operation_xyz
'x,y,z'
'-x,-y,z'
'-x,y,z'
'x,-y,z'
loop_
_atom_site_label
_atom_site_type_symbol
_atom_site_fract_x
_atom_site_fract_y
_atom_site_fract_z
Ho1 Ho 0.000 0.000 0.000
Ho2 Ho 0.000 0.500 0.495
Ho3 Ho 0.500 0.000 0.790
Ho4 Ho 0.500 0.500 0.288
Ni1 Ni 0.000 0.500 0.708
Ge1 Ge 0.000 0.000 0.336
Ge2 Ge 0.000 0.000 0.633
Ge3 Ge 0.000 0.500 0.141
Ge4 Ge 0.000 0.500 0.853
Ge5 Ge 0.500 0.000 0.147
Ge6 Ge 0.500 0.000 0.440
Ge7 Ge 0.500 0.500 0.632
Ge8 Ge 0.500 0.500 0.954
# energy of formation from the pure elements	-0.64	eV/atom
# calculated total energy	-5.339	eV per atom
# total moment	0.000	μB/f.u.

***

10.
# Ba3BiAu2S6 PBE-GGA optimized geometry
data_Ba3BiAu2S6
_chemical_formula_sum 'Ba3 Bi1 Au2 S6'
_cell_length_a 7.5521
_cell_length_b 7.5521
_cell_length_c 7.6029
_cell_angle_alpha 90.00
_cell_angle_beta 90.00
_cell_angle_gamma 120.00
_space_group_name_H-M_alt 'P -3 m 1'
_space_group_IT_number 164
_space_group_name_Hall '-P 3 2"'
loop_
_atom_site_label
_atom_site_type_symbol
_atom_site_fract_x
_atom_site_fract_y
_atom_site_fract_z
Ba1 Ba 0.0000 0.0000 0.0000
Ba2 Ba 0.3333 0.6667 0.6182
Bi1 Bi 0.0000 0.0000 0.5000
Au1 Au 0.3333 0.6667 0.1375
S1 S 0.1703 0.3406 0.2966
# ΔE_f (raw)	-10.09	eV per formula unit
# calculated total energy	-4.255	eV per atom
# total moment	0.000	μB/f.u.

***

11.
# TaSb2Os PBE-GGA optimized geometry
data_TaSb2Os
_chemical_formula_sum 'Ta1 Sb2 Os1'
_cell_length_a 4.777
_cell_length_b 3.169
_cell_length_c 5.497
_cell_angle_alpha 90.00
_cell_angle_beta 113.39
_cell_angle_gamma 90.00
_space_group_name_H-M_alt 'P 1 2/m 1'
_space_group_IT_number 10
loop_
_space_group_symop_operation_xyz
'x,y,z'
'-x,-y,-z'
'-x,y,-z'
'x,-y,z'
loop_
_atom_site_label
_atom_site_type_symbol
_atom_site_fract_x
_atom_site_fract_y
_atom_site_fract_z
Ta1 Ta 0.000 0.000 0.000
Sb1 Sb 0.500 0.000 0.500
Sb2 Sb 0.500 0.500 0.000
Os1 Os 0.000 0.500 0.500
# ΔE_f (raw)	1.67	eV per formula unit
# calculated total energy	-7.414	eV per atom
# total moment	0.000	μB/f.u.
# energy above the lowest structure with this stoichiometry	390	meV per atom

***

12.
# Nb3ReMo4 PBE-GGA optimized geometry
data_Nb3ReMo4
_chemical_formula_sum 'Nb6 Re2 Mo8'
_cell_length_a 2.643
_cell_length_b 9.193
_cell_length_c 11.217
_cell_angle_alpha 90.00
_cell_angle_beta 90.00
_cell_angle_gamma 90.00
_space_group_name_H-M_alt 'I m m m'
_space_group_IT_number 71
_space_group_name_Hall '-I 2 2'
loop_
_atom_site_label
_atom_site_type_symbol
_atom_site_fract_x
_atom_site_fract_y
_atom_site_fract_z
Nb1 Nb 0.000 0.000 0.000
Nb2 Nb 0.000 0.500 0.242
Re1 Re 0.000 0.000 0.500
Mo1 Mo 0.000 0.250 0.375
# energy of formation from the pure elements	0.29	eV/atom
# calculated total energy	-10.461	eV per atom
# total moment	0.000	μB/f.u.
# energy above the lowest structure with this stoichiometry	388	meV per atom

***

D(E_F) (states/eV/f.u.)
11.00; 7.65; 12.88; 2.49; 2.31; 5.40; 4.46; 2.55; 5.06; 5.92; 3.23; 6.35